[1]
VASP calculation (PBE) on a relaxed CaNiBiSe2 crystal.

Total DFT energy (no corrections)   -20.34 eV/cell
SG   P4/mmm
E_form (uncorrected)   -342 meV/atom
Calculated density   6.25 g cm⁻³

```
5
Lattice="5.0296 0.0000 0.0000 0.0000 4.8928 0.0000 0.0000 0.0000 5.0296" Properties=species:S:1:pos:R:3 pbc="T T T"
Ni 0.0000 0.0000 0.0000
Ca 2.5148 2.4464 2.5148
Bi 0.0000 2.4464 0.0000
Se 0.0000 0.0000 2.5148
Se 2.5148 0.0000 0.0000
```

=====

[2]
VASP calculation (PBE) on a relaxed InBr2Cl crystal.

Total DFT energy (no corrections)   -8.51 eV/cell
Offset from the most stable computed form   0.765 eV/atom
SG   P4/mmm
E_form (uncorrected)   -146 meV/atom
Calculated density   4.68 g cm⁻³

```
4
Lattice="3.5851 0.0000 0.0000 0.0000 3.5851 0.0000 0.0000 0.0000 8.5520" Properties=species:S:1:pos:R:3 pbc="T T T"
Cl 1.7926 1.7926 2.1380
Br 0.0000 0.0000 8.1089
Br 0.0000 0.0000 4.7190
In 1.7926 1.7926 6.4140
```

=====

[3]
VASP calculation (PBE) on a relaxed Pm3Y6Tm2Zr crystal.

Total DFT energy (no corrections)   -69.96 eV/cell
SG   C2/m
Energy relative to the elements   54.6 kJ/mol of formula units
Calculated density   6.17 g cm⁻³

```
12
Lattice="-5.2355 1.8857 -2.5863 0.6854 -5.8886 1.5843 -2.8162 3.6315 10.7675" Properties=species:S:1:pos:R:3 pbc="T T T"
Pm -1.7077 -2.7796 6.2743
Pm -5.6586 2.4082 3.4912
Pm -3.6832 -0.1857 4.8828
Y -6.5464 0.9990 6.7299
Y -4.1067 -2.1407 1.8396
Y -0.8199 -1.3703 3.0356
Y -4.6101 -1.5434 8.0938
Y -3.2597 1.7694 7.9259
Y -2.7562 1.1721 1.6717
Tm -1.2875 -3.2982 0.1946
Tm -3.2626 -0.7047 -1.1966
Zr 0.0000 0.0000 0.0000
```

=====

[4]
VASP calculation (PBE) on a relaxed HfNbRh14 crystal.

Total DFT energy (no corrections)   -127.35 eV/cell
SG   P4/mmm
Energy relative to the elements   -425.4 kJ/mol of formula units
Calculated density   12.09 g cm⁻³

```
16
Lattice="-0.8717 -2.9006 -4.5753 5.1146 -1.9682 0.2731 -2.5420 -6.0097 4.2942" Properties=species:S:1:pos:R:3 pbc="T T T"
Hf -0.1235 -2.7841 -3.9694
Nb 2.8703 -2.3178 -1.5446
Rh 1.5990 -5.3227 0.6023
Rh -1.3941 -5.7889 -1.8219
Rh 2.4341 -3.7678 -3.8321
Rh 1.1631 -6.7729 -1.6854
Rh 0.3131 -1.3340 -1.6815
Rh -0.9583 -4.3386 0.4657
Rh 2.0260 -8.0111 0.5910
Rh 3.2777 -5.0519 -1.5235
Rh -0.0808 -5.5936 2.7272
Rh 1.1709 -2.6344 0.6127
Rh 2.4583 -6.5709 2.8623
Rh 3.7099 -3.6118 0.7479
Rh -0.5130 -7.0337 0.4558
Rh 0.7386 -4.0746 -1.6586
```

=====

- The highest calculated density belongs to which entry?
  HfNbRh14

=====

- The highest calculated density belongs to which entry?
  HfNbRh14

=====

- What is the total DFT energy (no corrections) in the second record?
  -8.51 eV/cell

=====

What did the fourth record say?
VASP calculation (PBE) on a relaxed HfNbRh14 crystal.

Total DFT energy (no corrections)   -127.35 eV/cell
SG   P4/mmm
Energy relative to the elements   -425.4 kJ/mol of formula units
Calculated density   12.09 g cm⁻³

```
16
Lattice="-0.8717 -2.9006 -4.5753 5.1146 -1.9682 0.2731 -2.5420 -6.0097 4.2942" Properties=species:S:1:pos:R:3 pbc="T T T"
Hf -0.1235 -2.7841 -3.9694
Nb 2.8703 -2.3178 -1.5446
Rh 1.5990 -5.3227 0.6023
Rh -1.3941 -5.7889 -1.8219
Rh 2.4341 -3.7678 -3.8321
Rh 1.1631 -6.7729 -1.6854
Rh 0.3131 -1.3340 -1.6815
Rh -0.9583 -4.3386 0.4657
Rh 2.0260 -8.0111 0.5910
Rh 3.2777 -5.0519 -1.5235
Rh -0.0808 -5.5936 2.7272
Rh 1.1709 -2.6344 0.6127
Rh 2.4583 -6.5709 2.8623
Rh 3.7099 -3.6118 0.7479
Rh -0.5130 -7.0337 0.4558
Rh 0.7386 -4.0746 -1.6586
```